1.
Density functional theory data (PBE-GGA) for a relaxed GaTeS4 crystal.

## Properties
magnetization	0.00	μB per cell
distance to the lowest polymorph of the same formula	0.0081	eV per atom
formation energy from raw total energies	-0.081	eV per atom

a b c (Å): 7.6356 7.6356 6.2513
angles (deg): 113.04 113.04 27.20
Fractional positions:
Ga (0.0000, 0.0000, 0.0000)
Te (0.5000, 0.5000, 0.5000)
S (0.1123, 0.1123, 0.4289)
S (0.3964, 0.3964, 0.0548)
S (0.6036, 0.6036, 0.9452)
S (0.8877, 0.8877, 0.5711)

2.
Density functional theory data (PBE-GGA) for a relaxed GaTe2S crystal.

## Properties
magnetization	0.00	μB per cell
formation energy from raw total energies	0.212	eV per atom

a b c (Å): 6.8320 6.8320 6.8320
angles (deg): 116.29 116.29 96.56
Fractional positions:
Ga (0.0000, 0.0000, 0.0000)
Ga (0.7500, 0.2500, 0.5000)
Te (0.1156, 0.6250, 0.9906)
Te (0.3750, 0.3656, 0.4906)
Te (0.6344, 0.1250, 0.0094)
Te (0.8750, 0.8844, 0.5094)
S (0.2500, 0.7500, 0.5000)
S (0.5000, 0.5000, 0.0000)

3.
Density functional theory data (PBE-GGA) for a relaxed GaTeS6 crystal.

## Properties
magnetization	0.00	μB per cell
formation energy from raw total energies	0.033	eV per atom

a b c (Å): 4.8455 6.8780 7.2368
angles (deg): 108.95 102.15 94.25
Fractional positions:
Ga (0.0000, 0.0000, 0.0000)
Te (0.5000, 0.5000, 0.0000)
S (0.0542, 0.3247, 0.6763)
S (0.2437, 0.8058, 0.2312)
S (0.3716, 0.2459, 0.1769)
S (0.6284, 0.7541, 0.8231)
S (0.7563, 0.1942, 0.7688)
S (0.9458, 0.6753, 0.3237)

4.
Density functional theory data (PBE-GGA) for a relaxed TlGa2TeS6 crystal.

## Properties
magnetization	0.00	μB per cell
formation energy from raw total energies	-0.253	eV per atom

a b c (Å): 8.4097 8.4097 7.3848
angles (deg): 104.49 104.49 79.89
Fractional positions:
Tl (0.1869, 0.8131, 0.7500)
Tl (0.8131, 0.1869, 0.2500)
Ga (0.2182, 0.3715, 0.8037)
Ga (0.3715, 0.2182, 0.3037)
Ga (0.6285, 0.7818, 0.6963)
Ga (0.7818, 0.6285, 0.1963)
Te (0.2400, 0.7600, 0.2500)
Te (0.7600, 0.2400, 0.7500)
S (0.0207, 0.1861, 0.6448)
S (0.0585, 0.6156, 0.9119)
S (0.1861, 0.0207, 0.1448)
S (0.3096, 0.4226, 0.5546)
S (0.3844, 0.9415, 0.5881)
S (0.4226, 0.3096, 0.0546)
S (0.5774, 0.6904, 0.9454)
S (0.6156, 0.0585, 0.4119)
S (0.6904, 0.5774, 0.4454)
S (0.8139, 0.9793, 0.8552)
S (0.9415, 0.3844, 0.0881)
S (0.9793, 0.8139, 0.3552)

5.
Density functional theory data (PBE-GGA) for a relaxed Tm8Ga3Te3S crystal.

## Properties
magnetization	0.00	μB per cell
formation energy from raw total energies	-0.898	eV per atom

a b c (Å): 8.1524 8.1524 8.5058
angles (deg): 118.73 118.73 59.89
Fractional positions:
Tm (0.2381, 0.7424, 0.7228)
Tm (0.2431, 0.2431, 0.7296)
Tm (0.2580, 0.2580, 0.2773)
Tm (0.2576, 0.7619, 0.2772)
Tm (0.7424, 0.2381, 0.7228)
Tm (0.7420, 0.7420, 0.7227)
Tm (0.7569, 0.7569, 0.2704)
Tm (0.7619, 0.2576, 0.2772)
Ga (0.0000, 0.0000, 0.5000)
Ga (0.0000, 0.5000, 0.5000)
Ga (0.5000, 0.0000, 0.5000)
Te (0.0000, 0.5000, 0.0000)
Te (0.5000, 0.0000, 0.0000)
Te (0.5000, 0.5000, 0.0000)
S (0.5000, 0.5000, 0.5000)

6.
Density functional theory data (PBE-GGA) for a relaxed Tm8Ga3Te4S crystal.

## Properties
magnetization	0.00	μB per cell
formation energy from raw total energies	-1.075	eV per atom

a b c (Å): 8.5699 8.5699 8.5699
angles (deg): 57.28 57.28 57.28
Fractional positions:
Tm (0.2396, 0.7403, 0.7403)
Tm (0.2431, 0.2431, 0.2431)
Tm (0.2597, 0.2597, 0.7604)
Tm (0.2597, 0.7604, 0.2597)
Tm (0.7403, 0.2396, 0.7403)
Tm (0.7403, 0.7403, 0.2396)
Tm (0.7569, 0.7569, 0.7569)
Tm (0.7604, 0.2597, 0.2597)
Ga (0.0000, 0.0000, 0.5000)
Ga (0.0000, 0.5000, 0.0000)
Ga (0.5000, 0.0000, 0.0000)
Te (0.0000, 0.0000, 0.0000)
Te (0.0000, 0.5000, 0.5000)
Te (0.5000, 0.0000, 0.5000)
Te (0.5000, 0.5000, 0.0000)
S (0.5000, 0.5000, 0.5000)